## FeBrO2 (PBE with a Hubbard U)

Data for a relaxed FeBrO2 crystal.

```
8
Lattice="-2.776 2.776 4.431 2.776 -2.776 4.431 2.776 2.776 -4.431" Properties=species:S:1:pos:R:3 pbc="T T T"
Fe 0.000 0.000 0.000
Fe 0.000 2.776 2.215
Br 2.776 0.000 2.215
Br 0.000 0.000 4.431
O -0.624 1.388 1.108
O 1.388 2.152 3.323
O 0.624 4.165 1.108
O -1.388 3.401 3.323
```

Results
Offset from the most stable computed form, meV/atom: 310
Space group: I-42d (122)
ρ, kg/m³: 4078
Crystal system: tetragonal
Raw total energy, eV/atom: -4.669